ZrTiHgMo, optimized geometry, DFT GGA-PBE; crystal system = cubic; energy of formation = 0.1 eV per formula unit; mass density = 9.7 g cm⁻³; space group = F-43m (216)
1.0
0.000 3.346 3.346
3.346 0.000 3.346
3.346 3.346 0.000
Zr Ti Hg Mo
1 1 1 1
Direct
0.000 0.000 0.000
0.500 0.500 0.500
0.250 0.250 0.250
0.750 0.750 0.750